VASP calculation (PBE) on a geometry-optimized ThCd3In3 structure.

a = 7.692 Å, b = 7.692 Å, c = 7.692 Å
α = 90.00°, β = 90.00°, γ = 90.00°
Sites, in units of the cell vectors:
Th 0.000 0.000 0.000
Th 0.500 0.500 0.500
Cd 0.000 0.250 0.500
Cd 0.000 0.750 0.500
Cd 0.250 0.500 0.000
Cd 0.500 0.000 0.250
Cd 0.500 0.000 0.750
Cd 0.750 0.500 0.000
In 0.000 0.500 0.250
In 0.000 0.500 0.750
In 0.250 0.000 0.500
In 0.500 0.250 0.000
In 0.500 0.750 0.000
In 0.750 0.000 0.500

ΔH_f (0 K) in kJ per mole of atoms: 55.6
Magnetic moment in μB per cell: 0.001
DOS at the Fermi energy in states/eV/f.u.: 6.171